# Cs12Zn3Ag5 | Alexandria via LeMat-Bulk | PBE | relaxed
data_Cs12Zn3Ag5
_cell_length_a 19.484
_cell_length_b 19.484
_cell_length_c 19.484
_cell_angle_alpha 109.47
_cell_angle_beta 109.47
_cell_angle_gamma 109.47
_symmetry_space_group_name_H-M 'P 1'
_symmetry_Int_Tables_number 1
loop_
_symmetry_equiv_pos_as_xyz
'x,y,z'
loop_
_atom_site_label
_atom_site_type_symbol
_atom_site_fract_x
_atom_site_fract_y
_atom_site_fract_z
Cs1 Cs 0.045 0.218 0.127
Cs2 Cs 0.045 0.327 0.917
Cs3 Cs 0.083 0.627 0.410
Cs4 Cs 0.083 0.955 0.673
Cs5 Cs 0.090 0.718 0.673
Cs6 Cs 0.090 0.873 0.417
Cs7 Cs 0.127 0.045 0.218
Cs8 Cs 0.127 0.583 0.910
Cs9 Cs 0.173 0.218 0.590
Cs10 Cs 0.173 0.455 0.583
Cs11 Cs 0.218 0.127 0.045
Cs12 Cs 0.218 0.590 0.173
Cs13 Cs 0.282 0.327 0.910
Cs14 Cs 0.282 0.455 0.373
Cs15 Cs 0.327 0.910 0.282
Cs16 Cs 0.327 0.917 0.045
Cs17 Cs 0.373 0.282 0.455
Cs18 Cs 0.373 0.590 0.917
Cs19 Cs 0.410 0.083 0.627
Cs20 Cs 0.410 0.827 0.782
Cs21 Cs 0.417 0.090 0.873
Cs22 Cs 0.417 0.827 0.545
Cs23 Cs 0.455 0.373 0.282
Cs24 Cs 0.455 0.583 0.173
Cs25 Cs 0.545 0.417 0.827
Cs26 Cs 0.545 0.627 0.718
Cs27 Cs 0.583 0.173 0.455
Cs28 Cs 0.583 0.910 0.127
Cs29 Cs 0.590 0.173 0.218
Cs30 Cs 0.590 0.917 0.373
Cs31 Cs 0.627 0.410 0.083
Cs32 Cs 0.627 0.718 0.545
Cs33 Cs 0.673 0.083 0.955
Cs34 Cs 0.673 0.090 0.718
Cs35 Cs 0.718 0.545 0.627
Cs36 Cs 0.718 0.673 0.090
Cs37 Cs 0.782 0.410 0.827
Cs38 Cs 0.782 0.873 0.955
Cs39 Cs 0.827 0.545 0.417
Cs40 Cs 0.827 0.782 0.410
Cs41 Cs 0.873 0.417 0.090
Cs42 Cs 0.873 0.955 0.782
Cs43 Cs 0.910 0.127 0.583
Cs44 Cs 0.910 0.282 0.327
Cs45 Cs 0.917 0.045 0.327
Cs46 Cs 0.917 0.373 0.590
Cs47 Cs 0.955 0.673 0.083
Cs48 Cs 0.955 0.782 0.873
Zn1 Zn 0.125 0.250 0.375
Zn2 Zn 0.125 0.375 0.750
Zn3 Zn 0.250 0.375 0.125
Zn4 Zn 0.250 0.875 0.625
Zn5 Zn 0.375 0.125 0.250
Zn6 Zn 0.375 0.750 0.125
Zn7 Zn 0.625 0.250 0.875
Zn8 Zn 0.625 0.875 0.750
Zn9 Zn 0.750 0.125 0.375
Zn10 Zn 0.750 0.625 0.875
Zn11 Zn 0.875 0.625 0.250
Zn12 Zn 0.875 0.750 0.625
Ag1 Ag 0.000 0.000 0.000
Ag2 Ag 0.000 0.000 0.500
Ag3 Ag 0.000 0.500 0.000
Ag4 Ag 0.000 0.500 0.500
Ag5 Ag 0.125 0.750 0.875
Ag6 Ag 0.125 0.875 0.250
Ag7 Ag 0.250 0.125 0.875
Ag8 Ag 0.250 0.625 0.375
Ag9 Ag 0.375 0.250 0.625
Ag10 Ag 0.375 0.625 0.750
Ag11 Ag 0.500 0.000 0.000
Ag12 Ag 0.500 0.000 0.500
Ag13 Ag 0.500 0.500 0.000
Ag14 Ag 0.500 0.500 0.500
Ag15 Ag 0.625 0.375 0.250
Ag16 Ag 0.625 0.750 0.375
Ag17 Ag 0.750 0.375 0.625
Ag18 Ag 0.750 0.875 0.125
Ag19 Ag 0.875 0.125 0.750
Ag20 Ag 0.875 0.250 0.125
# electronic total energy	-1.22	eV/atom
# total magnetization	1.51	μB per formula unit


# CsZn2Ag | Alexandria via LeMat-Bulk | PBE | relaxed
data_CsZn2Ag
_cell_length_a 5.533
_cell_length_b 5.533
_cell_length_c 5.533
_cell_angle_alpha 60.00
_cell_angle_beta 60.00
_cell_angle_gamma 60.00
_symmetry_space_group_name_H-M 'P 1'
_symmetry_Int_Tables_number 1
loop_
_symmetry_equiv_pos_as_xyz
'x,y,z'
loop_
_atom_site_label
_atom_site_type_symbol
_atom_site_fract_x
_atom_site_fract_y
_atom_site_fract_z
Cs1 Cs 0.000 0.000 0.000
Zn1 Zn 0.250 0.250 0.250
Zn2 Zn 0.750 0.750 0.750
Ag1 Ag 0.500 0.500 0.500
# electronic total energy	-1.21	eV/atom
# polymorph energy (0 for the lowest one)	369	meV/atom
# total magnetization	0.00	μB per formula unit


# CsZn3Ag | Alexandria via LeMat-Bulk | PBE | relaxed
data_CsZn3Ag
_cell_length_a 5.197
_cell_length_b 5.197
_cell_length_c 5.197
_cell_angle_alpha 90.00
_cell_angle_beta 90.00
_cell_angle_gamma 90.00
_symmetry_space_group_name_H-M 'P 1'
_symmetry_Int_Tables_number 1
loop_
_symmetry_equiv_pos_as_xyz
'x,y,z'
loop_
_atom_site_label
_atom_site_type_symbol
_atom_site_fract_x
_atom_site_fract_y
_atom_site_fract_z
Cs1 Cs 0.000 0.000 0.000
Zn1 Zn 0.000 0.500 0.500
Zn2 Zn 0.500 0.000 0.500
Zn3 Zn 0.500 0.500 0.000
Ag1 Ag 0.500 0.500 0.500
# electronic total energy	-1.35	eV/atom
# polymorph energy (0 for the lowest one)	140	meV/atom
# total magnetization	0.00	μB per formula unit


# Cs2ZnAg | Alexandria via LeMat-Bulk | PBE | relaxed
data_Cs2ZnAg
_cell_length_a 4.843
_cell_length_b 4.843
_cell_length_c 10.386
_cell_angle_alpha 103.58
_cell_angle_beta 103.58
_cell_angle_gamma 59.99
_symmetry_space_group_name_H-M 'P 1'
_symmetry_Int_Tables_number 1
loop_
_symmetry_equiv_pos_as_xyz
'x,y,z'
loop_
_atom_site_label
_atom_site_type_symbol
_atom_site_fract_x
_atom_site_fract_y
_atom_site_fract_z
Cs1 Cs 0.000 0.000 0.000
Cs2 Cs 0.174 0.174 0.516
Zn1 Zn 0.754 0.754 0.258
Ag1 Ag 0.421 0.421 0.258
# electronic total energy	-1.42	eV/atom
# polymorph energy (0 for the lowest one)	0	meV/atom
# total magnetization	0.00	μB per formula unit


# CsZn3Ag | Alexandria via LeMat-Bulk | PBE | relaxed
data_CsZn3Ag
_cell_length_a 10.489
_cell_length_b 4.570
_cell_length_c 13.566
_cell_angle_alpha 90.00
_cell_angle_beta 90.00
_cell_angle_gamma 90.00
_symmetry_space_group_name_H-M 'P 1'
_symmetry_Int_Tables_number 1
loop_
_symmetry_equiv_pos_as_xyz
'x,y,z'
loop_
_atom_site_label
_atom_site_type_symbol
_atom_site_fract_x
_atom_site_fract_y
_atom_site_fract_z
Cs1 Cs 0.246 0.250 0.003
Cs2 Cs 0.254 0.750 0.503
Cs3 Cs 0.746 0.250 0.497
Cs4 Cs 0.754 0.750 0.997
Zn1 Zn 0.107 0.750 0.243
Zn2 Zn 0.145 0.250 0.744
Zn3 Zn 0.230 0.250 0.264
Zn4 Zn 0.270 0.750 0.764
Zn5 Zn 0.355 0.750 0.244
Zn6 Zn 0.393 0.250 0.743
Zn7 Zn 0.607 0.750 0.257
Zn8 Zn 0.645 0.250 0.756
Zn9 Zn 0.730 0.250 0.236
Zn10 Zn 0.770 0.750 0.736
Zn11 Zn 0.855 0.750 0.256
Zn12 Zn 0.893 0.250 0.757
Ag1 Ag 0.020 0.750 0.754
Ag2 Ag 0.480 0.250 0.254
Ag3 Ag 0.520 0.750 0.746
Ag4 Ag 0.980 0.250 0.246
# electronic total energy	-1.49	eV/atom
# polymorph energy (0 for the lowest one)	0	meV/atom
# total magnetization	0.00	μB per formula unit


# Cs2Zn3Ag4 | Alexandria via LeMat-Bulk | PBE | relaxed
data_Cs2Zn3Ag4
_cell_length_a 9.590
_cell_length_b 9.590
_cell_length_c 9.590
_cell_angle_alpha 125.18
_cell_angle_beta 110.14
_cell_angle_gamma 94.56
_symmetry_space_group_name_H-M 'P 1'
_symmetry_Int_Tables_number 1
loop_
_symmetry_equiv_pos_as_xyz
'x,y,z'
loop_
_atom_site_label
_atom_site_type_symbol
_atom_site_fract_x
_atom_site_fract_y
_atom_site_fract_z
Cs1 Cs 0.122 0.234 0.355
Cs2 Cs 0.378 0.734 0.112
Cs3 Cs 0.622 0.266 0.888
Cs4 Cs 0.878 0.766 0.645
Zn1 Zn 0.006 0.750 0.256
Zn2 Zn 0.250 0.750 0.500
Zn3 Zn 0.494 0.750 0.744
Zn4 Zn 0.506 0.250 0.256
Zn5 Zn 0.750 0.250 0.500
Zn6 Zn 0.994 0.250 0.744
Ag1 Ag 0.100 0.465 0.118
Ag2 Ag 0.153 0.035 0.635
Ag3 Ag 0.347 0.982 0.882
Ag4 Ag 0.400 0.518 0.365
Ag5 Ag 0.600 0.482 0.635
Ag6 Ag 0.653 0.018 0.118
Ag7 Ag 0.847 0.965 0.365
Ag8 Ag 0.900 0.535 0.882
# electronic total energy	-1.79	eV/atom
# total magnetization	0.00	μB per formula unit


# Cs12Zn5Ag3 | Alexandria via LeMat-Bulk | PBE | relaxed
data_Cs12Zn5Ag3
_cell_length_a 19.263
_cell_length_b 19.263
_cell_length_c 19.263
_cell_angle_alpha 109.47
_cell_angle_beta 109.47
_cell_angle_gamma 109.47
_symmetry_space_group_name_H-M 'P 1'
_symmetry_Int_Tables_number 1
loop_
_symmetry_equiv_pos_as_xyz
'x,y,z'
loop_
_atom_site_label
_atom_site_type_symbol
_atom_site_fract_x
_atom_site_fract_y
_atom_site_fract_z
Cs1 Cs 0.052 0.226 0.128
Cs2 Cs 0.052 0.326 0.923
Cs3 Cs 0.077 0.628 0.403
Cs4 Cs 0.077 0.948 0.674
Cs5 Cs 0.097 0.726 0.674
Cs6 Cs 0.097 0.872 0.423
Cs7 Cs 0.128 0.052 0.226
Cs8 Cs 0.128 0.577 0.903
Cs9 Cs 0.174 0.226 0.597
Cs10 Cs 0.174 0.448 0.577
Cs11 Cs 0.226 0.128 0.052
Cs12 Cs 0.226 0.597 0.174
Cs13 Cs 0.274 0.326 0.903
Cs14 Cs 0.274 0.448 0.372
Cs15 Cs 0.326 0.903 0.274
Cs16 Cs 0.326 0.923 0.052
Cs17 Cs 0.372 0.274 0.448
Cs18 Cs 0.372 0.597 0.923
Cs19 Cs 0.403 0.077 0.628
Cs20 Cs 0.403 0.826 0.774
Cs21 Cs 0.423 0.097 0.872
Cs22 Cs 0.423 0.826 0.552
Cs23 Cs 0.448 0.372 0.274
Cs24 Cs 0.448 0.577 0.174
Cs25 Cs 0.552 0.423 0.826
Cs26 Cs 0.552 0.628 0.726
Cs27 Cs 0.577 0.174 0.448
Cs28 Cs 0.577 0.903 0.128
Cs29 Cs 0.597 0.174 0.226
Cs30 Cs 0.597 0.923 0.372
Cs31 Cs 0.628 0.403 0.077
Cs32 Cs 0.628 0.726 0.552
Cs33 Cs 0.674 0.077 0.948
Cs34 Cs 0.674 0.097 0.726
Cs35 Cs 0.726 0.552 0.628
Cs36 Cs 0.726 0.674 0.097
Cs37 Cs 0.774 0.403 0.826
Cs38 Cs 0.774 0.872 0.948
Cs39 Cs 0.826 0.552 0.423
Cs40 Cs 0.826 0.774 0.403
Cs41 Cs 0.872 0.423 0.097
Cs42 Cs 0.872 0.948 0.774
Cs43 Cs 0.903 0.128 0.577
Cs44 Cs 0.903 0.274 0.326
Cs45 Cs 0.923 0.052 0.326
Cs46 Cs 0.923 0.372 0.597
Cs47 Cs 0.948 0.674 0.077
Cs48 Cs 0.948 0.774 0.872
Zn1 Zn 0.000 0.000 0.000
Zn2 Zn 0.000 0.000 0.500
Zn3 Zn 0.000 0.500 0.000
Zn4 Zn 0.000 0.500 0.500
Zn5 Zn 0.125 0.750 0.875
Zn6 Zn 0.125 0.875 0.250
Zn7 Zn 0.250 0.125 0.875
Zn8 Zn 0.250 0.625 0.375
Zn9 Zn 0.375 0.250 0.625
Zn10 Zn 0.375 0.625 0.750
Zn11 Zn 0.500 0.000 0.000
Zn12 Zn 0.500 0.000 0.500
Zn13 Zn 0.500 0.500 0.000
Zn14 Zn 0.500 0.500 0.500
Zn15 Zn 0.625 0.375 0.250
Zn16 Zn 0.625 0.750 0.375
Zn17 Zn 0.750 0.375 0.625
Zn18 Zn 0.750 0.875 0.125
Zn19 Zn 0.875 0.125 0.750
Zn20 Zn 0.875 0.250 0.125
Ag1 Ag 0.125 0.250 0.375
Ag2 Ag 0.125 0.375 0.750
Ag3 Ag 0.250 0.375 0.125
Ag4 Ag 0.250 0.875 0.625
Ag5 Ag 0.375 0.125 0.250
Ag6 Ag 0.375 0.750 0.125
Ag7 Ag 0.625 0.250 0.875
Ag8 Ag 0.625 0.875 0.750
Ag9 Ag 0.750 0.125 0.375
Ag10 Ag 0.750 0.625 0.875
Ag11 Ag 0.875 0.625 0.250
Ag12 Ag 0.875 0.750 0.625
# electronic total energy	-1.02	eV/atom
# total magnetization	3.33	μB per formula unit


# Cs2Zn2Ag | Alexandria via LeMat-Bulk | PBE | relaxed
data_Cs2Zn2Ag
_cell_length_a 11.658
_cell_length_b 11.658
_cell_length_c 11.658
_cell_angle_alpha 23.20
_cell_angle_beta 23.20
_cell_angle_gamma 23.20
_symmetry_space_group_name_H-M 'P 1'
_symmetry_Int_Tables_number 1
loop_
_symmetry_equiv_pos_as_xyz
'x,y,z'
loop_
_atom_site_label
_atom_site_type_symbol
_atom_site_fract_x
_atom_site_fract_y
_atom_site_fract_z
Cs1 Cs 0.074 0.074 0.074
Cs2 Cs 0.926 0.926 0.926
Zn1 Zn 0.176 0.176 0.176
Zn2 Zn 0.824 0.824 0.824
Ag1 Ag 0.500 0.500 0.500
# electronic total energy	-1.41	eV/atom
# polymorph energy (0 for the lowest one)	0	meV/atom
# total magnetization	0.00	μB per formula unit